# 1
Here is a geometry-optimized ErPaPC structure from the Alexandria database. Energies are from PBE.

Values from the calculation:
Energy ... -8.115 eV/atom
ΔH_f (0 K) ... -0.942 eV/atom

a = 3.7616 Å, b = 3.7616 Å, c = 18.6582 Å
α = 90.00°, β = 90.00°, γ = 120.00°
Space group R3m (No. 160, hexagonal axes)
Unique sites:
Er1 0.0000 0.0000 0.0000 (multiplicity 3)
Pa1 0.0000 0.0000 0.4804 (multiplicity 3)
P1 0.0000 0.0000 0.2417 (multiplicity 3)
C1 0.0000 0.0000 0.7500 (multiplicity 3)



# 2
Here is a geometry-optimized AcTb3Pr2Se6 structure from the Alexandria database. Energies are from PBE.

Values from the calculation:
Energy ... -5.849 eV/atom
E_form (uncorrected) ... -1810 meV per atom

a = 7.195 Å, b = 12.525 Å, c = 7.455 Å
α = 90.00°, β = 108.92°, γ = 90.00°
Space group C2/m (No. 12)
Unique sites:
Ac1 0.000 0.000 0.000 (multiplicity 2)
Tb1 0.000 0.165 0.500 (multiplicity 4)
Tb2 0.000 0.500 0.500 (multiplicity 2)
Pr1 0.000 0.332 0.000 (multiplicity 4)
Se1 0.240 0.331 0.729 (multiplicity 8)
Se2 0.249 0.000 0.732 (multiplicity 4)



# 3
Here is a geometry-optimized Mg6CdAg12 structure from the Alexandria database. Energies are from PBE.

Values from the calculation:
Energy ... -2.449 eV/atom
ΔH_f (0 K) ... -0.097 eV/atom

a = 10.1514 Å, b = 10.1514 Å, c = 12.1609 Å
α = 90.00°, β = 90.00°, γ = 120.00°
Space group R-3 (No. 148, hexagonal axes)
Unique sites:
Mg1 0.0127 0.5898 0.2048 (multiplicity 18)
Cd1 0.0000 0.0000 0.5000 (multiplicity 3)
Ag1 0.0269 0.8424 0.3137 (multiplicity 18)
Ag2 0.0570 0.2084 0.9120 (multiplicity 18)



# 4
Here is a geometry-optimized Ba2AcCd3 structure from the Alexandria database. Energies are from PBE.

Values from the calculation:
Energy ... -2.094 eV/atom
ΔH_f (0 K) ... -0.311 eV/atom
ΔE to the lowest computed polymorph ... 0.005 eV/atom

a = 5.922 Å, b = 17.761 Å, c = 8.406 Å
α = 90.00°, β = 90.00°, γ = 90.00°
Space group Cmmm (No. 65)
Unique sites:
Ba1 0.000 0.000 0.000 (multiplicity 2)
Ba2 0.000 0.000 0.500 (multiplicity 2)
Ba3 0.000 0.335 0.000 (multiplicity 4)
Ac1 0.000 0.333 0.500 (multiplicity 4)
Cd1 0.000 0.170 0.266 (multiplicity 8)
Cd2 0.000 0.500 0.263 (multiplicity 4)



| no. | DOS(E_F) (states/eV/cell) | magnetization (μB per atom) |
| --- | --- | --- |
| 1 | 7.08 | 0.00 |
| 2 | 10.98 | 0.00 |
| 3 | 16.25 | 0.00 |
| 4 | 16.74 | 0.00 |